Record 1
Compound: MgRuBr2
Source: the Alexandria database
Functional: PBE-GGA
Structure: optimized geometry

a b c (Å): 3.6140 3.6140 8.2661
angles (deg): 90.00 90.00 122.90
Closest atoms and distances in Å follow each position.
Positions (direct):
Ru 0.5000 0.5000 0.7500  4 Br 2.68
Mg 0.5000 0.5000 0.2500  4 Br 2.70
Br 0.0000 0.0000 0.9986  2 Ru 2.68, 2 Mg 2.70
Br 0.0000 0.0000 0.5014  2 Ru 2.68, 2 Mg 2.70

- Polymorph energy (0 for the lowest one): 0.536 eV/atom
- Spin magnetization: 2.003 μB per cell
- ΔE_f (raw): 276 meV per atom



Record 2
Compound: MgRuBr2
Source: the Alexandria database
Functional: PBE-GGA
Structure: optimized geometry

a b c (Å): 8.4020 8.4020 8.4020
angles (deg): 24.50 24.50 24.50
Closest atoms and distances in Å follow each position.
Positions (direct):
Ru 0.0000 0.0000 0.0000  2 Br 2.45
Mg 0.5000 0.5000 0.5000  6 Br 2.62
Br 0.8997 0.8997 0.8997  1 Ru 2.45, 3 Mg 2.62
Br 0.1003 0.1003 0.1003  1 Ru 2.45, 3 Mg 2.62

- Polymorph energy (0 for the lowest one): 0.384 eV/atom
- Spin magnetization: 0.391 μB per cell
- ΔE_f (raw): 125 meV per atom



Question: polymorph energy (0 for the lowest one) of number 1 (MgRuBr2)?
Answer: 0.536 eV/atom